La6GaP2Br3 after structural relaxation, computed with PBE.

Lattice parameters (Å, degrees): 9.9045 9.9045 8.9319 105.44 105.44 24.98
Last column: nearest neighbours and their distance in Å.
Fractional positions:
La  0.0102  0.0102  0.2417  1 P 2.94, 2 Ga 3.01, 3 Br 3.19-3.28
La  0.3239  0.3239  0.4381  3 P 2.90-2.91
La  0.3383  0.3383  0.8886  2 P 2.92, 1 Ga 3.01, 1 Br 3.25
La  0.6617  0.6617  0.1114  2 P 2.92, 1 Ga 3.01, 1 Br 3.25
La  0.6761  0.6761  0.5619  3 P 2.90-2.91
La  0.9898  0.9898  0.7583  1 P 2.94, 2 Ga 3.01, 3 Br 3.19-3.28
Ga  0.5000  0.5000  0.0000  6 La 3.01
P  0.1680  0.1680  0.3367  6 La 2.90-2.94
P  0.8320  0.8320  0.6633  6 La 2.90-2.94
Br  0.1653  0.1653  0.8333  6 La 3.25-3.29
Br  0.5000  0.5000  0.5000  6 La 3.19-3.30
Br  0.8347  0.8347  0.1667  6 La 3.25-3.29

Values from the calculation:
- energy relative to the elements, uncorrected (kJ/mol of formula units) = -1601
- total magnetization (μB per atom) = 0.000